Density functional theory data (PBE with a Hubbard U) for an optimized crystal structure of TiMnO2.

Cell: 5.396 5.396 7.692 Å, 120.17 120.17 31.69°
Atoms (fractional coordinates):
Ti 0.000 0.000 0.000
Ti 0.130 0.130 0.736
Mn 0.411 0.411 0.272
Mn 0.711 0.711 0.377
O 0.353 0.353 0.977
O 0.566 0.566 0.868
O 0.697 0.697 0.633
O 0.936 0.936 0.483

Output
- energy above the lowest structure with this stoichiometry (kJ/mol of formula units) = 8
- M_tot (μB per cell) = 7.969
- final energy (eV per formula unit) = -33.1